<P>
Density functional theory data (PBE) for crystalline HfZnAsSe2 at its relaxed geometry.

Unit cell a=5.126 b=5.126 c=5.294 alpha=90.00 beta=90.00 gamma=90.00
Fractional positions:
Hf (0.000, 0.000, 0.000)
Zn (0.500, 0.500, 0.500)
As (0.000, 0.000, 0.500)
Se (0.000, 0.500, 0.000)
Se (0.500, 0.000, 0.000)

Values from the calculation:
The symmetry is P4/mmm (123). For the density, the calculation gives 5.7 g/cm3.

---

<Q>
Density functional theory data (PBE) for crystalline HfZnAsSe2 at its relaxed geometry.

Unit cell a=4.822 b=4.822 c=4.743 alpha=90.00 beta=90.00 gamma=90.00
Fractional positions:
Hf (0.000, 0.000, 0.000)
Zn (0.500, 0.500, 0.500)
As (0.500, 0.500, 0.000)
Se (0.000, 0.500, 0.500)
Se (0.500, 0.000, 0.500)

Values from the calculation:
The symmetry is P4/mmm (123). For the density, the calculation gives 7.2 g/cm3.

---

Which of the structures shown above is the most stable? The most stable is <P>.